# 1
## Ca4Ga5Ir3 (PBE)

Data for a geometry-optimized Ca4Ga5Ir3 structure.

extended XYZ file:
```
12
Lattice="4.6165 0.0000 0.9938 2.2919 5.6002 0.5731 0.2300 -0.3601 10.1509" Properties=species:S:1:pos:R:3 pbc="T T T"
Ca 4.8648 1.3179 11.0596
Ca 3.2402 5.1150 7.3872
Ca 3.8982 0.1252 4.3306
Ca 2.2735 3.9223 0.6582
Ir 5.3628 2.9759 8.7466
Ir 1.7756 2.2643 2.9713
Ir 3.5692 2.6201 5.8589
Ga 4.0829 3.3299 3.4724
Ga 3.0554 1.9103 8.2454
Ga 2.0400 0.1507 1.7429
Ga 1.2609 2.6201 5.3620
Ga 5.0983 5.0895 9.9749
```

Results
Its volume is 21.774 A^3/atom. The formation energy is -0.44 eV per atom. The calculation puts the total magnetization at 0.000 μB/cell. The space group is C2/m, No. 12. As for the crystal system: monoclinic.

=====

# 2
## Ho2Tm2Zr (PBE)

Data for a geometry-optimized Ho2Tm2Zr structure.

extended XYZ file:
```
10
Lattice="-10.0734 -4.1104 -2.2395 10.4978 -3.0030 -2.0396 -0.1292 1.3501 5.8160" Properties=species:S:1:pos:R:3 pbc="T T T"
Tm 9.6450 -2.3704 0.8607
Tm -5.7188 -3.8760 -2.1972
Tm 0.9359 -2.8392 0.7761
Tm 6.1433 -3.2374 -2.0819
Ho -2.3914 -3.3576 -0.7105
Ho 2.8575 -4.8591 -1.7303
Ho 2.5806 -0.6274 3.3172
Ho -2.4560 -2.6826 2.1975
Zr 0.2122 -3.5567 -2.1396
Zr -4.9951 -3.1585 0.7185
```

Results
Its volume is 36.721 A^3/atom. The formation energy is 0.68 eV per atom. The calculation puts the total magnetization at 0.000 μB/cell. The space group is Fddd, No. 70. As for the crystal system: orthorhombic.